# DyY2Ag3Te6

A relaxed DyY2Ag3Te6 crystal (GGA-PBE, Alexandria).

Calculated values
Formation energy without anion corrections in meV per atom: -852

Cell lengths 4.388, 8.459, 10.202 Å; angles 103.07, 102.42, 90.00 degrees
Fractional positions:
Ag 0.795 0.220 0.590
Ag 0.205 0.780 0.410
Ag 0.500 0.500 0.000
Dy 0.500 0.000 0.000
Te 0.664 0.567 0.328
Te 0.986 0.738 0.971
Te 0.336 0.433 0.672
Te 0.014 0.262 0.029
Te 0.342 0.961 0.683
Te 0.658 0.039 0.317
Y 0.827 0.693 0.653
Y 0.173 0.307 0.347